Here is a relaxed structure of Tm2Au3 from Alexandria. Energies are from PBE.

Values from the calculation:
The total moment is 0.0 Bohr magnetons per cell. Its theoretical density is 12746 kg/m³. The formation enthalpy at 0 K comes out at -0.6544 eV/atom.

abc: 8.567 8.567 8.567
angles: 109.47 109.47 109.47
Element x y z (fractional)
Tm1 0.000 0.077 0.500
Tm2 0.000 0.577 0.500
Tm3 0.077 0.500 0.000
Tm4 0.423 0.423 0.423
Tm5 0.500 0.000 0.077
Tm6 0.500 0.000 0.577
Tm7 0.577 0.500 0.000
Tm8 0.923 0.923 0.923
Au1 0.016 0.250 0.266
Au2 0.234 0.484 0.750
Au3 0.250 0.266 0.016
Au4 0.250 0.984 0.734
Au5 0.266 0.016 0.250
Au6 0.484 0.750 0.234
Au7 0.516 0.766 0.750
Au8 0.734 0.250 0.984
Au9 0.750 0.234 0.484
Au10 0.750 0.516 0.766
Au11 0.766 0.750 0.516
Au12 0.984 0.734 0.250

=====

Here is a relaxed structure of AlCdS2Cl from Alexandria. Energies are from PBE.

Values from the calculation:
As for the energy relative to the elements, uncorrected: 27.6 kJ/mol of atoms. The total moment is 1.2 Bohr magnetons per cell. Its polymorph energy (0 for the lowest one) is 700 meV per atom. Its theoretical density is 2985 kg/m³.

abc: 5.008 5.008 5.301
angles: 90.00 90.00 90.00
Element x y z (fractional)
Al1 0.000 0.000 0.000
Cd1 0.500 0.500 0.500
S1 0.000 0.500 0.500
S2 0.500 0.000 0.500
Cl1 0.500 0.500 0.000

=====

Here is a relaxed structure of Sn4BiS8 from Alexandria. Energies are from PBE.

Values from the calculation:
As for the energy relative to the elements, uncorrected: -24.8 kJ/mol of atoms. The total moment is 0.0 Bohr magnetons per cell. Its theoretical density is 4435 kg/m³.

abc: 7.926 7.926 7.926
angles: 60.00 60.00 60.00
Element x y z (fractional)
Sn1 0.117 0.117 0.117
Sn2 0.117 0.117 0.650
Sn3 0.117 0.650 0.117
Sn4 0.650 0.117 0.117
Bi1 0.500 0.500 0.500
S1 0.360 0.880 0.880
S2 0.362 0.362 0.362
S3 0.362 0.362 0.914
S4 0.362 0.914 0.362
S5 0.880 0.360 0.880
S6 0.880 0.880 0.360
S7 0.880 0.880 0.880
S8 0.914 0.362 0.362

=====

Here is a relaxed structure of Na3PuCl6 from Alexandria. Energies are from PBE.

Values from the calculation:
As for the energy relative to the elements, uncorrected: -177.9 kJ/mol of atoms. The total moment is 5.0 Bohr magnetons per cell. Its theoretical density is 3133 kg/m³.

abc: 7.623 7.623 7.623
angles: 55.25 55.25 55.25
Element x y z (fractional)
Na1 0.000 0.000 0.000
Na2 0.200 0.200 0.200
Na3 0.705 0.705 0.705
Pu1 0.507 0.507 0.507
Cl1 0.122 0.401 0.779
Cl2 0.302 0.895 0.600
Cl3 0.401 0.779 0.122
Cl4 0.600 0.302 0.895
Cl5 0.779 0.122 0.401
Cl6 0.895 0.600 0.302